PrEr2Pu3Te6 | Alexandria | GGA-PBE | optimized geometry; density of states at the Fermi level = 34.62 states/eV/f.u.; uncorrected formation energy = -1.2069 eV per atom
1.0
4.3968 0.0000 0.0000
0.0000 8.8332 0.4032
-2.1984 -2.5730 9.2630
Pr Er Pu Te
1 2 3 6
Direct
0.5000 0.0000 0.0000
0.8338 0.6654 0.6676
0.1662 0.3346 0.3324
0.5000 0.5000 0.0000
0.8364 0.1650 0.6729
0.1636 0.8350 0.3271
0.3298 0.9079 0.6596
0.6691 0.5803 0.3383
0.6702 0.0921 0.3404
0.0034 0.2579 0.0068
0.9966 0.7421 0.9932
0.3309 0.4197 0.6617